This record from Alexandria via LeMat-Bulk describes an optimized crystal structure of Tb12Tm6Cd. The functional is PBE-GGA.

abc: 12.7913 12.7913 12.7847
angles: 90.00 90.00 120.00
Space group R-3m (No. 166, hexagonal axes)
Inequivalent atoms, fractional coordinates:
Tb  0.0000  0.2602  0.0000 [18 per cell]
Tb  0.0588  0.5294  0.1107 [18 per cell]
Tm  0.0904  0.1808  0.7734 [18 per cell]
Cd  0.0000  0.0000  0.0000 [3 per cell]

Properties
Mass density   8.3 Mg/m³
Energy   -242.83 eV/cell
E above lowest polymorph   0.018 eV per atom

***

This record from Alexandria via LeMat-Bulk describes an optimized crystal structure of Cd2CoTc. The functional is PBE-GGA.

abc: 2.748 4.280 5.633
angles: 90.00 90.00 90.00
Space group Pmmm (No. 47)
Inequivalent atoms, fractional coordinates:
Cd  0.000  0.000  0.246 [2 per cell]
Co  0.500  0.500  0.000 [1 per cell]
Tc  0.500  0.500  0.500 [1 per cell]

Properties
Mass density   9.6 Mg/m³
Energy   -17.21 eV/cell
E above lowest polymorph   0.344 eV per atom

***

This record from Alexandria via LeMat-Bulk describes an optimized crystal structure of La2Pr4N. The functional is PBE-GGA.

abc: 5.080 5.080 18.064
angles: 90.00 90.00 90.00
Space group I4/mmm (No. 139)
Inequivalent atoms, fractional coordinates:
La  0.000  0.000  0.172 [4 per cell]
Pr  0.000  0.000  0.366 [4 per cell]
Pr  0.000  0.500  0.000 [4 per cell]
N  0.000  0.000  0.500 [2 per cell]

Properties
Raw formation energy   -0.22 eV per atom
Mass density   6.1 Mg/m³
Energy   -77.62 eV/cell

***

This record from Alexandria via LeMat-Bulk describes an optimized crystal structure of In4Cl3O. The functional is PBE-GGA.

abc: 11.369 5.581 7.256
angles: 90.00 90.00 90.00
Space group Pmn2_1 (No. 31)
Inequivalent atoms, fractional coordinates:
In  0.000  0.085  0.000 [2 per cell]
In  0.000  0.810  0.514 [2 per cell]
In  0.166  0.366  0.629 [4 per cell]
Cl  0.000  0.594  0.007 [2 per cell]
Cl  0.171  0.071  0.288 [4 per cell]
O  0.000  0.130  0.694 [2 per cell]

Properties
Raw formation energy   -0.79 eV per atom
Mass density   4.2 Mg/m³
Energy   -55.55 eV/cell